Co2OsO | PBE with a Hubbard U | optimized geometry

```
data_Co2OsO
_space_group_name_H-M_alt 'I -4 2 d'
_space_group_IT_number 122
_space_group_name_Hall 'I -4 2bw'
_cell_length_a 6.2943
_cell_length_b 6.2943
_cell_length_c 4.7253
_cell_angle_alpha 90.00
_cell_angle_beta 90.00
_cell_angle_gamma 90.00
loop_
_atom_site_label
_atom_site_type_symbol
_atom_site_fract_x
_atom_site_fract_y
_atom_site_fract_z
Co1 Co 0.1778 0.2500 0.1250
Os1 Os 0.0000 0.0000 0.5000
O1 O 0.0000 0.0000 0.0000
```

Computed properties:
As for the calculated density: 11499 kg/m3. The calculation puts the calculated total energy at -6.00 eV per atom. Its distance to the lowest polymorph of the same formula is 0 meV/atom. As for the magnetic moment: 21.871 Bohr magnetons per cell.